This record from Alexandria via LeMat-Bulk describes an optimized crystal structure of RbVBiO4. The functional is PBE with a Hubbard U.

Calculated values
The calculation puts the density at 5.4 Mg/m³. As for the crystal system: monoclinic. As for the raw total energy: -43.3 eV/f.u.

abc: 5.525 5.882 7.947
angles: 90.00 102.90 90.00
Space group P2_1/m (No. 11)
Inequivalent atoms, fractional coordinates:
Rb (0.200, 0.250, 0.093)
V (0.452, 0.250, 0.711)
Bi (0.169, 0.750, 0.521)
O (0.223, 0.750, 0.224)
O (0.318, 0.006, 0.774)
O (0.402, 0.250, 0.483)